A geometry-optimized Zn2CoIr structure, computed with GGA-PBE.

Results
crystal system: orthorhombic
mass density: 11.878 g/cm3
calculated formation energy: -0.02 eV/atom
SG: Pmmm (47)

Lattice parameters (Å, degrees): 2.9196 4.2041 4.3505 90.00 90.00 90.00
With the nearest neighbours (Å) after each atom.
Fractional positions:
Zn 0.0000 0.0000 0.0000  4 Ir 2.56, 4 Zn 2.62
Zn 0.5000 0.0000 0.5000  4 Co 2.56, 4 Zn 2.62
Co 0.0000 0.5000 0.5000  4 Zn 2.56, 4 Ir 2.62
Ir 0.5000 0.5000 0.0000  4 Zn 2.56, 4 Co 2.62